Computed, not measured: a relaxed TiNiH crystal at the PBE level of DFT.

```
TiNiH
1.0
2.9223 0.0000 0.0000
0.0000 4.5714 -0.3415
-1.4611 -0.7672 4.4268
Ti Ni H
2 2 2
Cartesian
1.4611 2.4149 3.1757
0.0000 1.3894 0.9096
1.4611 3.7618 0.7987
0.0000 0.0425 3.2866
0.0000 3.0318 2.0152
1.4611 0.7725 2.0701
```

Results
Energy relative to the lowest polymorph listed for this composition in meV/atom: 77